Run i
Material: NbVCo2
Method: DFT, PBE
State: optimized geometry

It has space group P4/mmm (No. 123), with a = 3.807 Å, b = 3.807 Å, c = 3.588 Å, α = 90.00°, β = 90.00° and γ = 90.00°. Symmetry generates all atoms from Nb at (0.000, 0.000, 0.000), V at (0.500, 0.500, 0.000) and Co at (0.000, 0.500, 0.500).


Run ii
Material: NbVCo2
Method: DFT, PBE
State: optimized geometry

It has space group Pmma (No. 51), with a = 4.869 Å, b = 5.546 Å, c = 8.910 Å, α = 90.00°, β = 90.00° and γ = 90.00°. Symmetry generates all atoms from Nb at (0.250, 0.000, 0.083), Nb at (0.250, 0.500, 0.298), V at (0.250, 0.000, 0.770), V at (0.250, 0.500, 0.800), Co at (0.000, 0.000, 0.500), Co at (0.000, 0.500, 0.000) and Co at (0.250, 0.307, 0.573).


Run iii
Material: NbVCo2
Method: DFT, PBE
State: optimized geometry

It has space group I-42d (No. 122), with a = 6.547 Å, b = 6.547 Å, c = 5.147 Å, α = 90.00°, β = 90.00° and γ = 90.00°. Symmetry generates all atoms from Nb at (0.000, 0.000, 0.000), V at (0.000, 0.000, 0.500) and Co at (0.223, 0.750, 0.625).


Here are the energies relative to the best structure, in meV per atom: run i 0; run ii 686; run iii 369.